Record 1
AlGa2Ge: relaxed, PBE.

The structure in POSCAR format:
```
AlGa2Ge
1.0
-1.2595 1.8385 2.3938
-0.5299 -2.6883 1.7858
6.2496 0.6306 2.8038
Ge Al Ga
1 1 2
Cartesian
2.2301 -0.1096 3.4918
-0.8947 -0.4249 2.0898
4.7091 0.4752 2.1127
1.5404 0.1554 0.6911
```

Results
Raw total energy: -3.4581 eV/atom
Total magnetic moment: 0.00 μB/cell
SG: P4/mmm (123)
Energy of formation from the pure elements: 14 kJ/mol of atoms
Polymorph energy (0 for the lowest one): 45.7 meV/atom

---

Record 2
Zn2Sb3Pb2: relaxed, PBE.

The structure in POSCAR format:
```
Zn2Sb3Pb2
1.0
-2.1054 0.9929 4.0053
-8.3353 -3.1331 -0.9257
0.9943 -8.8065 5.3848
Zn Sb Pb
4 6 4
Cartesian
-1.0425 -6.7912 3.8145
-8.4038 -4.1555 4.6499
-4.6279 -6.9318 4.6438
-4.8184 -4.0148 3.8206
-7.0789 -10.5318 4.2479
-2.3675 -0.4148 4.2165
-4.2836 -3.2635 1.2364
-5.1627 -7.6831 7.2280
-6.8136 -5.9786 3.2586
-2.6327 -4.9681 5.2058
-1.3654 -3.2305 2.7622
-8.0809 -7.7162 5.7023
-2.1909 -9.1605 6.4773
-7.2554 -1.7862 1.9871
```

Results
Raw total energy: -3.1842 eV/atom
Total magnetic moment: 0.00 μB/cell
SG: C2/m (12)
Formation energy without anion corrections: 0.1 kcal/mol of atoms

---

Record 3
Pb2WSe: relaxed, PBE.

The structure in POSCAR format:
```
Pb2WSe
1.0
6.4500 0.0000 0.0000
0.0000 6.4500 0.0000
3.2250 3.2250 6.6911
Pb Se W
4 2 2
Cartesian
4.9846 1.6125 1.6728
1.4654 4.8375 1.6728
4.8375 4.6904 5.0183
8.0625 8.2097 5.0183
3.2250 3.2250 0.0000
3.2250 6.4500 3.3455
0.0000 0.0000 0.0000
6.4500 3.2250 3.3455
```

Results
Raw total energy: -4.8047 eV/atom
Total magnetic moment: 3.94 μB/cell
SG: I-42d (122)
Formation energy without anion corrections: 26.7 kcal/mol of atoms

---

Record 4
FePd4Pt5: relaxed, PBE.

The structure in POSCAR format:
```
FePd4Pt5
1.0
-1.6925 -1.3341 -4.0664
-2.6917 -5.9014 0.4522
-6.3044 1.5173 -0.4781
Fe Pd Pt
1 4 5
Cartesian
-0.4231 -0.3335 -1.0166
-5.5129 -1.3105 -1.1819
-2.6931 -1.5951 -2.2622
-8.8417 -4.7901 -3.8633
-4.3294 -3.7407 -0.8772
-8.1951 -2.7219 -2.2067
-2.8487 0.1381 -0.1618
-5.7674 -3.1926 -3.0627
-6.9936 -5.1892 -1.8973
-1.6472 -2.3292 0.1476
```

Results
Raw total energy: -5.8086 eV/atom
Total magnetic moment: 4.43 μB/cell
SG: Immm (71)
Energy of formation from the pure elements: 13 kJ/mol of atoms